[1]
BaY2Ge2 | GGA-PBEsol | optimized geometry

Results
total DFT energy (no corrections)	-28.7	eV/f.u.
space-group type	No. 139
V	286.25	Å³ per cell

Cell lengths 4.805, 4.805, 12.399 Å; angles 90.00, 90.00, 90.00 degrees
Positions (direct):
Ba 0.000 0.000 0.000
Ba 0.500 0.500 0.500
Y 0.000 0.500 0.250
Y 0.000 0.500 0.750
Y 0.500 0.000 0.250
Y 0.500 0.000 0.750
Ge 0.000 0.000 0.388
Ge 0.000 0.000 0.612
Ge 0.500 0.500 0.112
Ge 0.500 0.500 0.888

[2]
Ba2ZnGe | GGA-PBEsol | optimized geometry

Results
total DFT energy (no corrections)	-12.2	eV/f.u.
space-group type	No. 225
V	506.32	Å³ per cell

Cell lengths 7.970, 7.970, 7.970 Å; angles 90.00, 90.00, 90.00 degrees
Positions (direct):
Ba 0.250 0.250 0.250
Ba 0.250 0.250 0.750
Ba 0.250 0.750 0.250
Ba 0.250 0.750 0.750
Ba 0.750 0.250 0.250
Ba 0.750 0.250 0.750
Ba 0.750 0.750 0.250
Ba 0.750 0.750 0.750
Zn 0.000 0.000 0.000
Zn 0.000 0.500 0.500
Zn 0.500 0.000 0.500
Zn 0.500 0.500 0.000
Ge 0.000 0.000 0.500
Ge 0.000 0.500 0.000
Ge 0.500 0.000 0.000
Ge 0.500 0.500 0.500

[3]
BaZnGe | GGA-PBEsol | optimized geometry

Results
total DFT energy (no corrections)	-10.1	eV/f.u.
space-group type	No. 194
V	160.55	Å³ per cell

Cell lengths 4.376, 4.376, 9.681 Å; angles 90.00, 90.00, 120.00 degrees
Positions (direct):
Ba 0.000 0.000 0.000
Ba 0.000 0.000 0.500
Zn 0.333 0.667 0.250
Zn 0.667 0.333 0.750
Ge 0.333 0.667 0.750
Ge 0.667 0.333 0.250